Arrangement P

# KOsPd2, optimized geometry, DFT PBE
data_KOsPd2
_symmetry_space_group_name_H-M 'I -4 2 d'
_symmetry_Int_Tables_number 122
_symmetry_space_group_name_Hall 'I -4 2bw'
_cell_length_a 5.416
_cell_length_b 5.416
_cell_length_c 16.174
_cell_angle_alpha 90.00
_cell_angle_beta 90.00
_cell_angle_gamma 90.00
loop_
_atom_site_label
_atom_site_type_symbol
_atom_site_fract_x
_atom_site_fract_y
_atom_site_fract_z
K1 K 0.000 0.000 0.000
Os1 Os 0.000 0.000 0.500
Pd1 Pd 0.008 0.250 0.625
# DOS at the Fermi energy: 17.70 states/eV per cell

=====

Arrangement Q

# KOsPd2, optimized geometry, DFT PBE
data_KOsPd2
_symmetry_space_group_name_H-M 'F m -3 m'
_symmetry_Int_Tables_number 225
_symmetry_space_group_name_Hall '-F 4 2 3'
_cell_length_a 6.657
_cell_length_b 6.657
_cell_length_c 6.657
_cell_angle_alpha 90.00
_cell_angle_beta 90.00
_cell_angle_gamma 90.00
loop_
_atom_site_label
_atom_site_type_symbol
_atom_site_fract_x
_atom_site_fract_y
_atom_site_fract_z
K1 K 0.000 0.000 0.000
Os1 Os 0.000 0.000 0.500
Pd1 Pd 0.250 0.250 0.250
# DOS at the Fermi energy: 15.34 states/eV per cell

=====

Which structure is most stable? arrangement P, by 76 meV per atom over the runner-up.